Sr2PmF: relaxed, PBE.

Cell: 10.8231 10.8231 10.8231 Å, 20.24 20.24 20.24°
Last column: nearest neighbours and their distance in Å.
Atoms (fractional coordinates):
1 Sr 0.1142 0.1142 0.1142  3 F 2.76
2 Sr 0.8858 0.8858 0.8858  3 F 2.76
3 Pm 0.0000 0.0000 0.0000  2 Sr 3.63, 6 Pm 3.80
4 F 0.5000 0.5000 0.5000  6 Sr 2.76

Computed properties:
- DFT total energy: -3.48 eV per atom
- SG: No. 166
- Formation energy from raw total energies: -0.979 eV/atom

***

AcLa5Er2Tm: relaxed, PBE.

Cell: 12.6092 12.6092 9.5879 Å, 90.00 90.00 154.27°
Last column: nearest neighbours and their distance in Å.
Atoms (fractional coordinates):
1 Ac 0.1032 0.8968 0.5000  5 La 3.45-3.78
2 Ac 0.8968 0.1032 0.0000  5 La 3.45-3.78
3 La 0.0249 0.9751 0.1680  3 La 3.34-3.58, 2 Ac 3.54-3.72, 2 Er 3.54
4 La 0.1090 0.8910 0.8942  4 La 3.34-3.72, 4 Er 3.51-3.65
5 La 0.1887 0.8113 0.2022  3 Er 3.39-3.44, 3 Tm 3.51-3.57, 4 La 3.53-3.77, 1 Ac 3.54
6 La 0.2408 0.7592 0.5718  3 Tm 3.19-3.29, 1 Ac 3.45, 2 La 3.53
7 La 0.4901 0.5099 0.3815  2 Er 3.50-3.80, 4 La 3.58-3.72
8 La 0.5099 0.4901 0.8815  2 Er 3.50-3.80, 4 La 3.58-3.72
9 La 0.7592 0.2408 0.0718  3 Tm 3.19-3.29, 1 Ac 3.45, 2 La 3.53
10 La 0.8113 0.1887 0.7022  3 Er 3.39-3.44, 3 Tm 3.51-3.57, 4 La 3.53-3.77, 1 Ac 3.54
11 La 0.8910 0.1090 0.3942  4 La 3.34-3.72, 4 Er 3.51-3.65
12 La 0.9751 0.0249 0.6680  3 La 3.34-3.58, 2 Ac 3.54-3.72, 2 Er 3.54
13 Er 0.3252 0.6748 0.2521  6 La 3.39-3.70, 1 Tm 3.67
14 Er 0.3883 0.6117 0.6373  9 La 3.44-3.80, 1 Tm 3.80
15 Er 0.6117 0.3883 0.1373  9 La 3.44-3.80, 1 Tm 3.80
16 Er 0.6748 0.3252 0.7521  6 La 3.39-3.70, 1 Tm 3.67
17 Tm 0.2709 0.7291 0.8959  6 La 3.19-3.57
18 Tm 0.7291 0.2709 0.3959  6 La 3.19-3.57

Computed properties:
- DFT formation energy: 0.147 eV per atom
- DFT total energy: -4.56 eV per atom
- SG: No. 36

***

Sm3TmHg4: relaxed, PBE.

Cell: 9.1954 9.1954 9.1954 Å, 156.32 131.42 54.74°
Last column: nearest neighbours and their distance in Å.
Atoms (fractional coordinates):
1 Sm 0.0000 0.0000 0.0000  8 Hg 3.23
2 Sm 0.2970 0.7970 0.5000  6 Hg 3.16
3 Sm 0.7030 0.2030 0.5000  6 Hg 3.16
4 Tm 0.5000 0.5000 0.0000  4 Hg 3.06
5 Hg 0.0779 0.3714 0.7065  1 Tm 3.06, 1 Hg 3.12, 5 Sm 3.16-3.23
6 Hg 0.3351 0.6286 0.7065  1 Tm 3.06, 1 Hg 3.12, 5 Sm 3.16-3.23
7 Hg 0.6649 0.3714 0.2935  1 Tm 3.06, 1 Hg 3.12, 5 Sm 3.16-3.23
8 Hg 0.9221 0.6286 0.2935  1 Tm 3.06, 1 Hg 3.12, 5 Sm 3.16-3.23

Computed properties:
- DFT formation energy: -0.328 eV per atom
- DFT total energy: -2.81 eV per atom
- SG: No. 71
- ΔE to the lowest computed polymorph: 111.1 kJ/mol of formula units

***

ReHgBr2: relaxed, PBE.

Cell: 11.7208 11.7208 11.7208 Å, 15.26 15.26 15.26°
Last column: nearest neighbours and their distance in Å.
Atoms (fractional coordinates):
1 Re 0.0000 0.0000 0.0000  2 Br 2.38
2 Hg 0.5000 0.5000 0.5000  6 Hg 3.11
3 Br 0.0685 0.0685 0.0685  1 Re 2.38
4 Br 0.9315 0.9315 0.9315  1 Re 2.38

Computed properties:
- DFT total energy: -3.55 eV per atom
- SG: No. 166
- Formation energy from raw total energies: 0.469 eV/atom
- ΔE to the lowest computed polymorph: 68.8 kJ/mol of formula units

***

Nb2NiGe: relaxed, PBE.

Cell: 5.1762 3.6734 7.0916 Å, 90.00 109.94 90.00°
Last column: nearest neighbours and their distance in Å.
Atoms (fractional coordinates):
1 Nb 0.1901 0.2500 0.4269  4 Ni 2.60-2.88, 3 Ge 2.69-2.83
2 Nb 0.1985 0.2500 0.9196  3 Ni 2.64-2.89, 4 Ge 2.68-2.79
3 Nb 0.8015 0.7500 0.0804  3 Ni 2.64-2.89, 4 Ge 2.68-2.79
4 Nb 0.8099 0.7500 0.5731  4 Ni 2.60-2.88, 3 Ge 2.69-2.83
5 Ni 0.3434 0.7500 0.7068  2 Ge 2.36, 5 Nb 2.60-2.64
6 Ni 0.6566 0.2500 0.2932  2 Ge 2.36, 5 Nb 2.60-2.64
7 Ge 0.3517 0.7500 0.2131  2 Ni 2.36
8 Ge 0.6483 0.2500 0.7869  2 Ni 2.36

Computed properties:
- DFT formation energy: -0.354 eV per atom
- DFT total energy: -7.99 eV per atom
- SG: No. 11

***

Li3MgSn2: relaxed, PBE.

Cell: 10.0010 10.0010 10.0010 Å, 162.00 154.02 31.79°
Last column: nearest neighbours and their distance in Å.
Atoms (fractional coordinates):
1 Li 0.0000 0.0000 0.0000  1 Li 2.56, 2 Mg 2.73
2 Li 0.1329 0.1329 0.0000  1 Li 2.56
3 Li 0.2711 0.7711 0.5000  1 Mg 2.85, 4 Sn 3.05, 4 Li 3.09-3.13
4 Mg 0.4192 0.9192 0.5000  3 Li 2.73-2.85
5 Sn 0.5644 0.5644 0.0000  8 Li 3.01-3.04, 2 Sn 3.13, 2 Mg 3.20
6 Sn 0.8406 0.3406 0.5000  4 Li 3.05, 4 Mg 3.13, 2 Sn 3.13

Computed properties:
- DFT formation energy: -0.166 eV per atom
- DFT total energy: -2.72 eV per atom
- SG: No. 44
- ΔE to the lowest computed polymorph: 38.3 kJ/mol of formula units

***

Sm2Pu3Ru4: relaxed, PBE.

Cell: 8.7573 8.7573 7.6098 Å, 90.00 90.00 139.02°
Last column: nearest neighbours and their distance in Å.
Atoms (fractional coordinates):
1 Sm 0.0978 0.9022 0.9029  7 Ru 3.04-3.31
2 Sm 0.4022 0.5978 0.4029  7 Ru 3.04-3.31
3 Sm 0.5978 0.4022 0.5971  7 Ru 3.04-3.31
4 Sm 0.9022 0.0978 0.0971  7 Ru 3.04-3.31
5 Pu 0.0000 0.0000 0.5000  6 Ru 2.62-2.67
6 Pu 0.0228 0.4772 0.7500  5 Ru 2.64-2.95
7 Pu 0.4772 0.0228 0.2500  5 Ru 2.64-2.95
8 Pu 0.5000 0.5000 0.0000  6 Ru 2.62-2.67
9 Pu 0.5228 0.9772 0.7500  5 Ru 2.64-2.95
10 Pu 0.9772 0.5228 0.2500  5 Ru 2.64-2.95
11 Ru 0.1593 0.8407 0.5257  3 Pu 2.62-2.83
12 Ru 0.1836 0.3164 0.7500  3 Pu 2.64-2.67
13 Ru 0.3164 0.1836 0.2500  3 Pu 2.64-2.67
14 Ru 0.3407 0.6593 0.0257  3 Pu 2.62-2.83
15 Ru 0.6593 0.3407 0.9743  3 Pu 2.62-2.83
16 Ru 0.6836 0.8164 0.7500  3 Pu 2.64-2.67
17 Ru 0.8164 0.6836 0.2500  3 Pu 2.64-2.67
18 Ru 0.8407 0.1593 0.4743  3 Pu 2.62-2.83

Computed properties:
- DFT formation energy: -0.208 eV per atom
- DFT total energy: -10.16 eV per atom
- SG: No. 64

***

CdRuS2N: relaxed, PBE.

Cell: 4.8984 4.8984 3.6589 Å, 90.00 90.00 90.00°
Last column: nearest neighbours and their distance in Å.
Atoms (fractional coordinates):
1 Cd 0.0000 0.0000 0.0000  8 S 3.06
2 Ru 0.5000 0.5000 0.5000  2 N 1.83
3 S 0.0000 0.5000 0.5000  2 Ru 2.45
4 S 0.5000 0.0000 0.5000  2 Ru 2.45
5 N 0.5000 0.5000 0.0000  2 Ru 1.83

Computed properties:
- DFT total energy: -5.06 eV per atom
- SG: No. 123
- Formation energy from raw total energies: 0.297 eV/atom
- ΔE to the lowest computed polymorph: 0.0 kJ/mol of formula units

***

HfTi3: relaxed, PBE.

Cell: 3.0256 4.7363 5.2064 Å, 90.00 90.00 90.00°
Last column: nearest neighbours and their distance in Å.
Atoms (fractional coordinates):
1 Hf 0.0000 0.0000 0.0000  10 Ti 2.95-3.03, 2 Hf 3.03
2 Ti 0.0000 0.5000 0.6548  10 Ti 2.93-3.09, 2 Hf 2.97
3 Ti 0.5000 0.0000 0.4967  8 Ti 2.91-3.03, 4 Hf 3.00-3.03
4 Ti 0.5000 0.5000 0.1717  8 Ti 2.91-3.09, 4 Hf 2.95

Computed properties:
- DFT formation energy: 0.036 eV per atom
- DFT total energy: -8.37 eV per atom
- SG: No. 25

***

AcNd2Ge: relaxed, PBE.

Cell: 4.9546 4.9546 4.9253 Å, 90.00 90.00 90.00°
Last column: nearest neighbours and their distance in Å.
Atoms (fractional coordinates):
1 Ac 0.0000 0.0000 0.0000  8 Nd 3.49, 4 Ge 3.50
2 Nd 0.0000 0.5000 0.5000  4 Ge 3.49, 4 Ac 3.49, 4 Nd 3.50
3 Nd 0.5000 0.0000 0.5000  4 Ge 3.49, 4 Ac 3.49, 4 Nd 3.50
4 Ge 0.5000 0.5000 0.0000  8 Nd 3.49, 4 Ac 3.50

Computed properties:
- DFT formation energy: -0.268 eV per atom
- DFT total energy: -4.83 eV per atom
- SG: No. 123
- ΔE to the lowest computed polymorph: 54.5 kJ/mol of formula units

***

TeMo4Ru: relaxed, PBE.

Cell: 5.2519 5.2519 5.2519 Å, 60.00 60.00 60.00°
Last column: nearest neighbours and their distance in Å.
Atoms (fractional coordinates):
1 Te 0.0000 0.0000 0.0000  12 Mo 3.08, 4 Ru 3.22
2 Mo 0.1241 0.6253 0.6253  6 Mo 2.62-2.63
3 Mo 0.6253 0.1241 0.6253  6 Mo 2.62-2.63
4 Mo 0.6253 0.6253 0.1241  6 Mo 2.62-2.63
5 Mo 0.6253 0.6253 0.6253  6 Mo 2.62-2.63
6 Ru 0.2500 0.2500 0.2500  12 Mo 3.08, 4 Te 3.22

Computed properties:
- DFT total energy: -8.68 eV per atom
- SG: No. 216
- Formation energy from raw total energies: 0.607 eV/atom

***

Cu2TeS: relaxed, PBE.

Cell: 7.7502 7.7502 7.7502 Å, 27.64 27.64 27.64°
Last column: nearest neighbours and their distance in Å.
Atoms (fractional coordinates):
1 Cu 0.0950 0.0950 0.0950  1 S 2.12
2 Cu 0.9050 0.9050 0.9050  1 S 2.12
3 Te 0.5000 0.5000 0.5000  6 Cu 2.67
4 S 0.0000 0.0000 0.0000  2 Cu 2.12

Computed properties:
- DFT total energy: -3.60 eV per atom
- SG: No. 166
- Formation energy from raw total energies: 0.263 eV/atom
- ΔE to the lowest computed polymorph: 151.1 kJ/mol of formula units